The following is a PBE calculation of a relaxed structure of AcCoNiP2, from Alexandria.

Output
ΔH_f (0 K) = -0.904 eV per atom
DFT total energy = -6.467 eV/atom

Unit cell a=3.861 b=3.861 c=11.531 alpha=90.00 beta=90.00 gamma=90.00
Space group I-4m2 (No. 119)
One atom of each set of equivalent atoms:
Ac 0.000 0.000 0.000 (multiplicity 2)
Co 0.000 0.500 0.250 (multiplicity 2)
Ni 0.000 0.500 0.750 (multiplicity 2)
P 0.000 0.000 0.350 (multiplicity 4)